Sc3NbCr: optimized geometry, GGA-PBEsol.

Lattice parameters (Å, degrees): 4.672 4.672 4.672 90.00 90.00 90.00
Positions (direct):
Cr1 0.000 0.000 0.000
Nb1 0.500 0.500 0.500
Sc1 0.500 0.000 0.000
Sc2 0.000 0.500 0.000
Sc3 0.000 0.000 0.500

Output
**DFT formation energy**: 0.788 eV per atom
**Density of states at the Fermi level**: 1.6004 states/eV per atom
**VASP energy**: -0.54300 Ry per atom